Entry 1:
The following is a DFT calculation (PBE) of a relaxed structure of Mn2Cr2Ru.

D(E_F) = 12.48 states/eV/cell
Total energy = -91.541 eV for the cell shown

```
data_Mn2Cr2Ru
_space_group_name_H-M_alt 'P 4/m b m'
_space_group_IT_number 127
_space_group_name_Hall '-P 4 2ab'
_cell_length_a 6.6465
_cell_length_b 6.6465
_cell_length_c 2.7037
_cell_angle_alpha 90.00
_cell_angle_beta 90.00
_cell_angle_gamma 90.00
loop_
_atom_site_label
_atom_site_type_symbol
_atom_site_fract_x
_atom_site_fract_y
_atom_site_fract_z
Mn1 Mn 0.1351 0.3649 0.0000
Cr1 Cr 0.1650 0.6650 0.5000
Ru1 Ru 0.0000 0.0000 0.0000
```

Entry 2:
The following is a DFT calculation (PBE) of a relaxed structure of MnCrSbRu.

D(E_F) = 6.18 states/eV/cell
E_form (uncorrected) = 0.0776 eV per atom

```
data_MnCrSbRu
_space_group_name_H-M_alt 'F -4 3 m'
_space_group_IT_number 216
_space_group_name_Hall 'F -4 2 3'
_cell_length_a 6.1335
_cell_length_b 6.1335
_cell_length_c 6.1335
_cell_angle_alpha 90.00
_cell_angle_beta 90.00
_cell_angle_gamma 90.00
loop_
_atom_site_label
_atom_site_type_symbol
_atom_site_fract_x
_atom_site_fract_y
_atom_site_fract_z
Mn1 Mn 0.0000 0.0000 0.0000
Cr1 Cr 0.2500 0.2500 0.7500
Sb1 Sb 0.2500 0.2500 0.2500
Ru1 Ru 0.0000 0.0000 0.5000
```

Entry 3:
The following is a DFT calculation (PBE) of a relaxed structure of MnCrTcRu.

D(E_F) = 12.76 states/eV/cell
Total energy = -152.616 eV for the cell shown

```
data_MnCrTcRu
_space_group_name_H-M_alt 'F -4 3 m'
_space_group_IT_number 216
_space_group_name_Hall 'F -4 2 3'
_cell_length_a 5.9744
_cell_length_b 5.9744
_cell_length_c 5.9744
_cell_angle_alpha 90.00
_cell_angle_beta 90.00
_cell_angle_gamma 90.00
loop_
_atom_site_label
_atom_site_type_symbol
_atom_site_fract_x
_atom_site_fract_y
_atom_site_fract_z
Mn1 Mn 0.0000 0.0000 0.0000
Cr1 Cr 0.0000 0.0000 0.5000
Tc1 Tc 0.2500 0.2500 0.7500
Ru1 Ru 0.2500 0.2500 0.2500
```

Entry 4:
The following is a DFT calculation (PBE) of a relaxed structure of MnCrS2.

Energy above the lowest structure with this stoichiometry = 0.0431 eV per atom
D(E_F) = 14.21 states/eV/cell
E_form (uncorrected) = -0.2057 eV per atom

```
data_MnCrS2
_space_group_name_H-M_alt 'R -3 m'
_space_group_IT_number 166
_space_group_name_Hall '-R 3 2"'
_cell_length_a 3.0404
_cell_length_b 3.0404
_cell_length_c 22.4665
_cell_angle_alpha 90.00
_cell_angle_beta 90.00
_cell_angle_gamma 120.00
loop_
_atom_site_label
_atom_site_type_symbol
_atom_site_fract_x
_atom_site_fract_y
_atom_site_fract_z
Mn1 Mn 0.0000 0.0000 0.0000
Cr1 Cr 0.0000 0.0000 0.5000
S1 S 0.0000 0.0000 0.1007
```

Entry 5:
The following is a DFT calculation (PBE) of a relaxed structure of Mn4CrS6.

D(E_F) = 21.77 states/eV/cell
E_form (uncorrected) = -0.4612 eV per atom

```
data_Mn4CrS6
_space_group_name_H-M_alt 'C 1 c 1'
_space_group_IT_number 9
_cell_length_a 11.2339
_cell_length_b 6.4911
_cell_length_c 11.9582
_cell_angle_alpha 90.00
_cell_angle_beta 112.49
_cell_angle_gamma 90.00
loop_
_space_group_symop_operation_xyz
'x,y,z'
'x,-y,z+1/2'
'x+1/2,y+1/2,z'
'x+1/2,-y+1/2,z+1/2'
loop_
_atom_site_label
_atom_site_type_symbol
_atom_site_fract_x
_atom_site_fract_y
_atom_site_fract_z
Mn1 Mn 0.0000 0.0951 0.0000
Mn2 Mn 0.0329 0.3616 0.3620
Mn3 Mn 0.1275 0.1377 0.7729
Mn4 Mn 0.2698 0.3815 0.1484
Cr1 Cr 0.2095 0.1897 0.5832
S1 S 0.0078 0.2631 0.5478
S2 S 0.0988 0.2222 0.2079
S3 S 0.2120 0.1139 0.9972
S4 S 0.2745 0.4206 0.4814
S5 S 0.3145 0.3061 0.7702
S6 S 0.4481 0.2139 0.3129
```

Entry 6:
The following is a DFT calculation (PBE) of a relaxed structure of MnCrS2.

Energy above the lowest structure with this stoichiometry = 0.1795 eV per atom
D(E_F) = 13.04 states/eV/cell
E_form (uncorrected) = -0.0693 eV per atom

```
data_MnCrS2
_space_group_name_H-M_alt 'F m -3 m'
_space_group_IT_number 225
_space_group_name_Hall '-F 4 2 3'
_cell_length_a 5.9849
_cell_length_b 5.9849
_cell_length_c 5.9849
_cell_angle_alpha 90.00
_cell_angle_beta 90.00
_cell_angle_gamma 90.00
loop_
_atom_site_label
_atom_site_type_symbol
_atom_site_fract_x
_atom_site_fract_y
_atom_site_fract_z
Mn1 Mn 0.0000 0.0000 0.0000
Cr1 Cr 0.0000 0.0000 0.5000
S1 S 0.2500 0.2500 0.2500
```

Entry 7:
The following is a DFT calculation (PBE) of a relaxed structure of Mn4CrS8.

D(E_F) = 14.24 states/eV/cell
E_form (uncorrected) = -0.5718 eV per atom

```
data_Mn4CrS8
_space_group_name_H-M_alt 'R -3 m'
_space_group_IT_number 166
_space_group_name_Hall '-R 3 2"'
_cell_length_a 6.8209
_cell_length_b 6.8209
_cell_length_c 17.3795
_cell_angle_alpha 90.00
_cell_angle_beta 90.00
_cell_angle_gamma 120.00
loop_
_atom_site_label
_atom_site_type_symbol
_atom_site_fract_x
_atom_site_fract_y
_atom_site_fract_z
Mn1 Mn 0.0000 0.0000 0.0000
Mn2 Mn 0.0000 0.5000 0.0000
Cr1 Cr 0.0000 0.0000 0.5000
S1 S 0.0000 0.0000 0.2597
S2 S 0.0161 0.5080 0.2551
```

Entry 8:
The following is a DFT calculation (PBE) of a relaxed structure of MnCr3S6.

D(E_F) = 6.35 states/eV/cell
E_form (uncorrected) = -0.5398 eV per atom

```
data_MnCr3S6
_space_group_name_H-M_alt 'P 1 21/c 1'
_space_group_IT_number 14
_cell_length_a 6.0625
_cell_length_b 6.3434
_cell_length_c 10.7000
_cell_angle_alpha 90.00
_cell_angle_beta 123.47
_cell_angle_gamma 90.00
loop_
_space_group_symop_operation_xyz
'x,y,z'
'-x,-y,-z'
'-x,y+1/2,-z+1/2'
'x,-y+1/2,z+1/2'
loop_
_atom_site_label
_atom_site_type_symbol
_atom_site_fract_x
_atom_site_fract_y
_atom_site_fract_z
Mn1 Mn 0.0000 0.0000 0.0000
Cr1 Cr 0.3034 0.0770 0.8026
Cr2 Cr 0.5000 0.0000 0.5000
S1 S 0.0991 0.0743 0.2458
S2 S 0.2993 0.6840 0.1090
S3 S 0.3797 0.1742 0.0427
```